No. 1
Cs2RbBeAs2: optimized geometry, GGA-PBE.

Summary:
energy relative to the elements = -1.42 eV per formula unit
symmetry = No. 72

Structure (extended XYZ):
```
12
Lattice="-4.079 7.880 3.682 4.079 -7.880 3.682 4.079 7.880 -3.682" Properties=species:S:1:pos:R:3 pbc="T T T"
Cs 1.636 2.795 0.000
Cs 1.636 -2.795 3.682
Cs 2.443 10.675 0.000
Cs 2.443 5.084 3.682
Rb 4.079 0.000 1.841
Rb 0.000 7.880 1.841
Be 0.000 0.000 1.841
Be 0.000 0.000 5.524
As 7.002 0.825 0.000
As 2.923 7.055 0.000
As 1.156 0.825 3.682
As -2.923 7.055 3.682
```

---

No. 2
Cs2BeAsS4: optimized geometry, GGA-PBE.

Summary:
energy relative to the elements, uncorrected = -0.790 eV/atom
symmetry = No. 70

Structure (extended XYZ):
```
16
Lattice="0.000 7.085 12.500 2.890 0.000 12.500 2.890 7.085 0.000" Properties=species:S:1:pos:R:3 pbc="T T T"
Cs 2.167 5.314 1.298
Cs 3.612 8.857 7.548
Cs 2.167 5.314 17.453
Cs 3.612 8.857 23.703
Be 0.722 1.771 3.125
Be 5.057 12.400 21.876
As 2.167 5.314 9.375
As 3.612 8.857 15.626
S 2.035 2.991 4.304
S 3.745 6.534 10.554
S 2.300 7.637 4.304
S 2.300 2.991 14.447
S 3.480 11.180 10.554
S 3.480 6.534 20.697
S 2.035 7.637 14.447
S 3.745 11.180 20.697
```

---

No. 3
CsBeSb2As: optimized geometry, GGA-PBE.

Summary:
energy relative to the elements, uncorrected = 0.405 eV/atom
symmetry = No. 123

Structure (extended XYZ):
```
5
Lattice="6.274 0.000 0.000 0.000 6.274 0.000 0.000 0.000 4.064" Properties=species:S:1:pos:R:3 pbc="T T T"
Cs 0.000 0.000 0.000
Be 3.137 3.137 0.000
Sb 0.000 3.137 2.032
Sb 3.137 0.000 2.032
As 3.137 3.137 2.032
```

---

No. 4
CsBeAsSe2: optimized geometry, GGA-PBE.

Summary:
energy relative to the elements, uncorrected = 0.000 eV/atom
symmetry = No. 123

Structure (extended XYZ):
```
5
Lattice="5.147 0.000 0.000 0.000 5.147 0.000 0.000 0.000 4.595" Properties=species:S:1:pos:R:3 pbc="T T T"
Cs 0.000 0.000 0.000
Be 2.574 2.574 2.297
As 2.574 2.574 0.000
Se 0.000 2.574 2.297
Se 2.574 0.000 2.297
```

---

No. 5
CsBe2SiAs: optimized geometry, GGA-PBE.

Summary:
energy relative to the elements, uncorrected = 0.777 eV/atom
symmetry = No. 123

Structure (extended XYZ):
```
5
Lattice="4.656 0.000 0.000 0.000 4.656 0.000 0.000 0.000 5.174" Properties=species:S:1:pos:R:3 pbc="T T T"
Cs 0.000 0.000 0.000
Be 0.000 2.328 2.587
Be 2.328 0.000 2.587
Si 2.328 2.328 2.587
As 2.328 2.328 0.000
```

---

No. 6
Cs2BeSnAs2: optimized geometry, GGA-PBE.

Summary:
energy relative to the elements = -1.16 eV per formula unit
symmetry = No. 72

Structure (extended XYZ):
```
12
Lattice="-3.507 8.324 3.362 3.507 -8.324 3.362 3.507 8.324 -3.362" Properties=species:S:1:pos:R:3 pbc="T T T"
Cs 1.669 2.811 0.000
Cs 1.669 -2.811 3.362
Cs 1.837 11.136 0.000
Cs 1.837 5.513 3.362
Be 0.000 0.000 1.681
Be 0.000 0.000 5.043
Sn 3.507 0.000 1.681
Sn 0.000 8.324 1.681
As 5.666 1.109 0.000
As 2.159 7.216 0.000
As 1.348 1.109 3.362
As -2.159 7.216 3.362
```

---

No. 7
Cs2SrBeAs2: optimized geometry, GGA-PBE.

Summary:
energy relative to the elements = -2.75 eV per formula unit
symmetry = No. 72

Structure (extended XYZ):
```
12
Lattice="-3.570 8.233 3.500 3.570 -8.233 3.500 3.570 8.233 -3.500" Properties=species:S:1:pos:R:3 pbc="T T T"
Cs 1.545 2.897 0.000
Cs 1.545 -2.897 3.500
Cs 2.025 11.130 0.000
Cs 2.025 5.336 3.500
Sr 3.570 0.000 1.750
Sr 0.000 8.233 1.750
Be 0.000 0.000 1.750
Be 0.000 0.000 5.250
As 5.803 1.143 0.000
As 2.233 7.090 0.000
As 1.337 1.143 3.500
As -2.233 7.090 3.500
```

---

No. 8
CsBeTe2As: optimized geometry, GGA-PBE.

Summary:
energy relative to the elements, uncorrected = 0.420 eV/atom
symmetry = No. 123

Structure (extended XYZ):
```
5
Lattice="5.047 0.000 0.000 0.000 5.047 0.000 0.000 0.000 5.747" Properties=species:S:1:pos:R:3 pbc="T T T"
Cs 0.000 0.000 0.000
Be 0.000 0.000 2.874
Te 0.000 2.523 2.874
Te 2.523 0.000 2.874
As 2.523 2.523 0.000
```

---

No. 9
CsBeTeAs2: optimized geometry, GGA-PBE.

Summary:
energy relative to the elements, uncorrected = 0.612 eV/atom
symmetry = No. 123

Structure (extended XYZ):
```
5
Lattice="5.653 0.000 0.000 0.000 5.653 0.000 0.000 0.000 4.929" Properties=species:S:1:pos:R:3 pbc="T T T"
Cs 0.000 0.000 0.000
Be 2.827 2.827 0.000
Te 2.827 2.827 2.465
As 0.000 2.827 2.465
As 2.827 0.000 2.465
```

---

No. 10
CsBeTl2As2: optimized geometry, GGA-PBE.

Summary:
energy relative to the elements = -0.34 eV per formula unit
symmetry = No. 72

Structure (extended XYZ):
```
12
Lattice="-4.275 6.094 3.564 4.275 -6.094 3.564 4.275 6.094 -3.564" Properties=species:S:1:pos:R:3 pbc="T T T"
Cs 0.000 0.000 1.782
Cs 0.000 0.000 5.346
Be 4.275 0.000 1.782
Be 0.000 6.094 1.782
Tl 5.771 2.219 0.000
Tl 1.496 3.875 0.000
Tl 2.779 2.219 3.564
Tl -1.496 3.875 3.564
As 3.096 0.947 0.000
As 3.096 -0.947 3.564
As 1.179 7.041 0.000
As 1.179 5.147 3.564
```

---

No. 11
Cs2BeTlAs2: optimized geometry, GGA-PBE.

Summary:
energy relative to the elements = -1.30 eV per formula unit
symmetry = No. 72

Structure (extended XYZ):
```
12
Lattice="-3.491 8.438 3.299 3.491 -8.438 3.299 3.491 8.438 -3.299" Properties=species:S:1:pos:R:3 pbc="T T T"
Cs 1.722 2.841 0.000
Cs 1.722 -2.841 3.299
Cs 1.769 11.279 0.000
Cs 1.769 5.598 3.299
Be 3.491 0.000 1.649
Be 0.000 8.438 1.649
Tl 0.000 0.000 1.649
Tl 0.000 0.000 4.948
As 4.777 1.267 0.000
As 1.286 7.172 0.000
As 2.206 1.267 3.299
As -1.286 7.172 3.299
```

---

No. 12
Cs2BeZnAs: optimized geometry, GGA-PBE.

Summary:
energy relative to the elements = 2.32 eV per formula unit
symmetry = No. 123

Structure (extended XYZ):
```
5
Lattice="7.064 0.000 0.000 0.000 7.064 0.000 0.000 0.000 4.621" Properties=species:S:1:pos:R:3 pbc="T T T"
Cs 0.000 3.532 0.000
Cs 3.532 0.000 0.000
Be 0.000 0.000 2.311
Zn 3.532 3.532 0.000
As 3.532 3.532 2.311
```

---

No. 13
BeCuAs3: optimized geometry, GGA-PBE.

Summary:
energy relative to the elements = 4.98 eV per formula unit
offset from the most stable computed form = 0.335 eV per atom
symmetry = No. 221

Structure (extended XYZ):
```
5
Lattice="4.678 0.000 0.000 0.000 4.678 0.000 0.000 0.000 4.678" Properties=species:S:1:pos:R:3 pbc="T T T"
Be 0.000 0.000 0.000
Cu 2.339 2.339 2.339
As 0.000 2.339 2.339
As 2.339 0.000 2.339
As 2.339 2.339 0.000
```

---

No. 14
BeCuAs4: optimized geometry, GGA-PBE.

Summary:
energy relative to the elements = 4.72 eV per formula unit
symmetry = No. 216

Structure (extended XYZ):
```
6
Lattice="0.000 3.842 3.842 3.842 0.000 3.842 3.842 3.842 0.000" Properties=species:S:1:pos:R:3 pbc="T T T"
Be 0.000 0.000 0.000
Cu 1.921 1.921 1.921
As 4.804 2.881 2.881
As 2.881 4.804 2.881
As 2.881 2.881 4.804
As 4.804 4.804 4.804
```

---

No. 15
Be4CuAs: optimized geometry, GGA-PBE.

Summary:
energy relative to the elements = 1.37 eV per formula unit
symmetry = No. 216

Structure (extended XYZ):
```
6
Lattice="0.000 3.164 3.164 3.164 0.000 3.164 3.164 3.164 0.000" Properties=species:S:1:pos:R:3 pbc="T T T"
Be 0.784 0.784 0.784
Be 2.380 2.380 0.784
Be 2.380 0.784 2.380
Be 0.784 2.380 2.380
Cu 4.747 4.747 4.747
As 3.164 3.164 3.164
```

---

No. 16
BeCuAs3: optimized geometry, GGA-PBE.

Summary:
energy relative to the elements = 3.30 eV per formula unit
offset from the most stable computed form = 0.000 eV per atom
symmetry = No. 221

Structure (extended XYZ):
```
5
Lattice="4.465 0.000 0.000 0.000 4.465 0.000 0.000 0.000 4.465" Properties=species:S:1:pos:R:3 pbc="T T T"
Be 0.000 0.000 0.000
Cu 2.232 2.232 2.232
As 0.000 0.000 2.232
As 0.000 2.232 0.000
As 2.232 0.000 0.000
```

---

No. 17
BeGa2CuAs: optimized geometry, GGA-PBE.

Summary:
energy relative to the elements = 2.24 eV per formula unit
symmetry = No. 123

Structure (extended XYZ):
```
5
Lattice="4.651 0.000 0.000 0.000 4.651 0.000 0.000 0.000 4.168" Properties=species:S:1:pos:R:3 pbc="T T T"
Be 0.000 0.000 0.000
Ga 0.000 2.326 2.084
Ga 2.326 0.000 2.084
Cu 0.000 0.000 2.084
As 2.326 2.326 0.000
```

---

No. 18
KBeCu2As: optimized geometry, GGA-PBE.

Summary:
energy relative to the elements = 3.88 eV per formula unit
symmetry = No. 123

Structure (extended XYZ):
```
5
Lattice="4.352 0.000 0.000 0.000 4.352 0.000 0.000 0.000 5.206" Properties=species:S:1:pos:R:3 pbc="T T T"
K 0.000 0.000 0.000
Be 0.000 0.000 2.603
Cu 0.000 2.176 2.603
Cu 2.176 0.000 2.603
As 2.176 2.176 0.000
```

---

No. 19
LiBeCuAs2: optimized geometry, GGA-PBE.

Summary:
energy relative to the elements = -0.77 eV per formula unit
symmetry = No. 119

Structure (extended XYZ):
```
5
Lattice="-1.980 1.980 5.240 1.980 -1.980 5.240 1.980 1.980 -5.240" Properties=species:S:1:pos:R:3 pbc="T T T"
Li 0.000 0.000 0.000
Be 0.000 1.980 2.620
Cu 1.980 0.000 2.620
As 0.000 0.000 3.955
As 0.000 0.000 6.525
```

---

No. 20
Be2CuMoAs: optimized geometry, GGA-PBE.

Summary:
energy relative to the elements = 7.05 eV per formula unit
symmetry = No. 123

Structure (extended XYZ):
```
5
Lattice="4.318 0.000 0.000 0.000 4.318 0.000 0.000 0.000 4.650" Properties=species:S:1:pos:R:3 pbc="T T T"
Be 0.000 2.159 0.000
Be 2.159 0.000 0.000
Cu 0.000 0.000 2.325
Mo 0.000 0.000 0.000
As 2.159 2.159 2.325
```

---

What are the electronic total energy values for these records? In order: -2.85 -4.11 -3.09 -3.24 -2.90 -3.32 -3.19 -2.68 -2.79 -3.16 -3.07 -1.81 -3.36 -3.62 -3.71 -3.69 -3.26 -2.76 -3.96 -4.00 eV per atom.
What are the total magnetization values for these records? In order: 0.00 0.62 0.00 0.00 0.00 0.00 0.00 0.00 0.01 0.00 0.00 0.41 0.00 0.00 0.00 0.00 0.00 0.00 0.00 0.00 μB/f.u..